Entry 1:
La2PrEr4: relaxed, PBE-GGA.

POSCAR file:
```
La2PrEr4
1.0
-2.317 2.317 11.297
2.317 -2.317 11.297
2.317 2.317 -11.297
La Pr Er
2 1 4
direct
0.101 0.101 0.000
0.899 0.899 0.000
0.500 0.500 0.000
0.250 0.750 0.500
0.358 0.358 0.000
0.642 0.642 0.000
0.750 0.250 0.500
```

DOS at the Fermi energy   1.67 states/eV/atom
DFT formation energy   243 meV/atom
Crystal system   tetragonal

Entry 2:
La2Pr8Er3: relaxed, PBE-GGA.

POSCAR file:
```
La2Pr8Er3
1.0
10.551 -3.880 0.000
10.551 3.880 0.000
-0.003 0.000 5.736
La Pr Er
2 8 3
direct
0.241 0.241 0.498
0.759 0.759 0.502
0.128 0.128 0.999
0.194 0.602 0.500
0.332 0.332 0.999
0.398 0.806 0.500
0.602 0.194 0.500
0.668 0.668 0.001
0.806 0.398 0.500
0.872 0.872 0.001
0.000 0.000 0.500
0.284 0.716 0.000
0.716 0.284 0.000
```

ΔE to the lowest computed polymorph   38 meV per atom
DOS at the Fermi energy   1.48 states/eV/atom
DFT formation energy   191 meV/atom
Crystal system   monoclinic

Entry 3:
LaPrEr4: relaxed, PBE-GGA.

POSCAR file:
```
LaPrEr4
1.0
0.000 4.728 4.728
4.728 0.000 4.728
4.728 4.728 0.000
La Pr Er
1 1 4
direct
0.000 0.000 0.000
0.750 0.750 0.750
0.375 0.375 0.375
0.375 0.375 0.875
0.375 0.875 0.375
0.875 0.375 0.375
```

ΔE to the lowest computed polymorph   248 meV per atom
DOS at the Fermi energy   2.13 states/eV/atom
DFT formation energy   275 meV/atom
Crystal system   cubic

Entry 4:
LaPrEr14: relaxed, PBE-GGA.

POSCAR file:
```
LaPrEr14
1.0
11.441 0.000 0.000
0.000 3.561 6.141
0.000 -3.561 6.141
La Pr Er
1 1 14
direct
0.000 0.000 0.000
0.000 0.500 0.500
0.000 0.001 0.500
0.000 0.500 0.001
0.252 0.668 0.668
0.253 0.168 0.168
0.256 0.167 0.667
0.256 0.667 0.167
0.500 0.334 0.334
0.500 0.335 0.834
0.500 0.834 0.335
0.500 0.834 0.834
0.744 0.167 0.667
0.744 0.667 0.167
0.747 0.168 0.168
0.748 0.668 0.668
```

DOS at the Fermi energy   1.31 states/eV/atom
DFT formation energy   15 meV/atom
Crystal system   orthorhombic

Entry 5:
La2Pr3Er5: relaxed, PBE-GGA.

POSCAR file:
```
La2Pr3Er5
1.0
5.327 -8.328 0.000
5.327 8.328 0.000
-5.327 0.000 7.618
La Pr Er
4 6 10
direct
0.025 0.267 0.045
0.267 0.025 0.545
0.733 0.975 0.455
0.975 0.733 0.955
0.228 0.475 0.455
0.270 0.730 0.250
0.475 0.228 0.955
0.525 0.772 0.045
0.730 0.270 0.750
0.772 0.525 0.545
0.028 0.972 0.750
0.138 0.368 0.749
0.226 0.774 0.750
0.368 0.138 0.249
0.473 0.527 0.250
0.527 0.473 0.750
0.632 0.862 0.751
0.774 0.226 0.250
0.862 0.632 0.251
0.972 0.028 0.250
```

DOS at the Fermi energy   1.41 states/eV/atom
DFT formation energy   172 meV/atom
Crystal system   monoclinic

Entry 6:
La2Pr4Er: relaxed, PBE-GGA.

POSCAR file:
```
La2Pr4Er
1.0
8.047 0.000 0.000
-2.136 7.763 0.000
-0.343 -0.436 8.214
La Pr Er
4 8 2
direct
0.000 0.000 0.000
0.023 0.467 0.761
0.099 0.900 0.500
0.567 0.922 0.261
0.091 0.616 0.163
0.350 0.875 0.872
0.352 0.312 0.168
0.411 0.252 0.668
0.642 0.624 0.908
0.715 0.992 0.662
0.724 0.542 0.409
0.975 0.251 0.372
0.354 0.619 0.518
0.719 0.255 0.018
```

ΔE to the lowest computed polymorph   152 meV per atom
DOS at the Fermi energy   1.54 states/eV/atom
DFT formation energy   163 meV/atom
Crystal system   triclinic

Entry 7:
LaPr6Er: relaxed, PBE-GGA.

POSCAR file:
```
LaPr6Er
1.0
5.221 0.000 0.000
0.000 5.221 0.000
0.000 0.000 10.463
La Pr Er
1 6 1
direct
0.000 0.000 0.000
0.000 0.500 0.254
0.000 0.500 0.746
0.500 0.000 0.254
0.500 0.000 0.746
0.500 0.500 0.000
0.500 0.500 0.500
0.000 0.000 0.500
```

DOS at the Fermi energy   1.82 states/eV/atom
DFT formation energy   17 meV/atom
Crystal system   tetragonal

Entry 8:
LaPrEr3: relaxed, PBE-GGA.

POSCAR file:
```
LaPrEr3
1.0
2.619 -5.652 0.000
2.619 5.652 0.000
-0.007 0.000 11.293
La Pr Er
2 2 6
direct
0.153 0.847 0.000
0.847 0.153 0.000
0.365 0.635 0.500
0.635 0.365 0.500
0.153 0.847 0.302
0.153 0.847 0.698
0.500 0.500 0.170
0.500 0.500 0.830
0.847 0.153 0.302
0.847 0.153 0.698
```

ΔE to the lowest computed polymorph   0 meV per atom
DOS at the Fermi energy   1.49 states/eV/atom
DFT formation energy   178 meV/atom
Crystal system   monoclinic

Entry 9:
LaPr2Er2: relaxed, PBE-GGA.

POSCAR file:
```
LaPr2Er2
1.0
-2.111 2.111 9.627
2.111 -2.111 9.627
2.111 2.111 -9.627
La Pr Er
1 2 2
direct
0.000 0.000 0.000
0.195 0.195 0.000
0.805 0.805 0.000
0.399 0.399 0.000
0.601 0.601 0.000
```

ΔE to the lowest computed polymorph   0 meV per atom
DOS at the Fermi energy   2.08 states/eV/atom
DFT formation energy   95 meV/atom
Crystal system   tetragonal

Entry 10:
La6Pr5Er: relaxed, PBE-GGA.

POSCAR file:
```
La6Pr5Er
1.0
6.131 -5.566 0.000
6.131 5.566 0.000
-1.115 0.000 6.333
La Pr Er
6 5 1
direct
0.083 0.414 0.749
0.248 0.248 0.254
0.414 0.083 0.749
0.586 0.917 0.251
0.752 0.752 0.746
0.917 0.586 0.251
0.165 0.835 0.000
0.331 0.669 0.500
0.500 0.500 0.000
0.669 0.331 0.500
0.835 0.165 0.000
0.000 0.000 0.500
```

ΔE to the lowest computed polymorph   0 meV per atom
DOS at the Fermi energy   1.69 states/eV/atom
DFT formation energy   11 meV/atom
Crystal system   monoclinic

Entry 11:
La5Pr2Er3: relaxed, PBE-GGA.

POSCAR file:
```
La5Pr2Er3
1.0
5.541 -7.488 0.000
5.541 7.488 0.000
-5.534 0.000 8.562
La Pr Er
10 4 6
direct
0.026 0.974 0.750
0.126 0.366 0.746
0.232 0.768 0.750
0.273 0.727 0.250
0.366 0.126 0.246
0.634 0.874 0.754
0.727 0.273 0.750
0.768 0.232 0.250
0.874 0.634 0.254
0.974 0.026 0.250
0.225 0.467 0.440
0.467 0.225 0.940
0.533 0.775 0.060
0.775 0.533 0.560
0.034 0.282 0.056
0.282 0.034 0.556
0.480 0.520 0.250
0.520 0.480 0.750
0.718 0.966 0.444
0.966 0.718 0.944
```

DOS at the Fermi energy   1.72 states/eV/atom
DFT formation energy   159 meV/atom
Crystal system   monoclinic

Entry 12:
La2Pr6Er5: relaxed, PBE-GGA.

POSCAR file:
```
La2Pr6Er5
1.0
11.946 0.000 0.000
0.000 20.647 0.000
0.000 0.000 3.677
La Pr Er
4 12 10
direct
0.166 0.217 0.000
0.334 0.717 0.000
0.666 0.283 0.000
0.834 0.783 0.000
0.057 0.923 0.000
0.080 0.636 0.000
0.179 0.376 0.500
0.321 0.876 0.500
0.420 0.136 0.000
0.443 0.423 0.000
0.557 0.577 0.000
0.580 0.864 0.000
0.679 0.124 0.500
0.821 0.624 0.500
0.920 0.364 0.000
0.943 0.077 0.000
0.000 0.500 0.500
0.095 0.779 0.500
0.201 0.055 0.500
0.299 0.555 0.500
0.405 0.279 0.500
0.500 0.000 0.500
0.595 0.721 0.500
0.701 0.445 0.500
0.799 0.945 0.500
0.905 0.221 0.500
```

DOS at the Fermi energy   1.27 states/eV/atom
DFT formation energy   103 meV/atom
Crystal system   orthorhombic